Entry 1:
{
  "formula": "ScAgS3",
  "functional": "meta-GGA SCAN",
  "state": "PBEsol geometry",
  "cell": [[4.8406, 0.0000, 0.0000], [0.0000, 4.8406, 0.0000], [0.0000, 0.0000, 4.8406]],
  "species": ["Sc", "Ag", "S", "S", "S"],
  "frac_coords": [[0.0000, 0.0000, 0.0000], [0.5000, 0.5000, 0.5000], [0.0000, 0.0000, 0.5000], [0.0000, 0.5000, 0.0000], [0.5000, 0.0000, 0.0000]],
  "space_group": "Pm-3m, No. 221",
  "total_magnetization_mub_per_fu": 1.4,
  "vol_a3_per_atom": 22.68,
  "formation_energy_uncorrected_ev_per_atom": -0.385
}

---

Entry 2:
{
  "formula": "CrPt2",
  "functional": "meta-GGA SCAN",
  "state": "PBEsol geometry",
  "cell": [[4.2983, 0.0000, 0.0000], [-2.1491, 3.7224, 0.0000], [0.0000, 0.0000, 2.7221]],
  "species": ["Cr", "Pt", "Pt"],
  "frac_coords": [[0.0000, 0.0000, 0.0000], [0.3333, 0.6667, 0.2632], [0.6667, 0.3333, 0.7368]],
  "space_group": "P-3m1, No. 164",
  "total_magnetization_mub_per_fu": 3.2,
  "vol_a3_per_atom": 14.52,
  "delta_e_f_ev_per_atom": -0.216
}

---

Entry 3:
{
  "formula": "CoIr2Rh",
  "functional": "meta-GGA SCAN",
  "state": "PBEsol geometry",
  "cell": [[4.3630, -1.3324, 0.0000], [4.3630, 1.3324, 0.0000], [-0.8445, 0.0000, 4.5102]],
  "species": ["Co", "Ir", "Ir", "Rh"],
  "frac_coords": [[0.0000, 0.0000, 0.0000], [0.2535, 0.2535, 0.7561], [0.7465, 0.7465, 0.2439], [0.5000, 0.5000, 0.5000]],
  "space_group": "C2/m, No. 12",
  "total_magnetization_mub_per_fu": 2.3,
  "polymorph_energy_ev_per_fu": 0.06,
  "vol_a3_per_atom": 13.11,
  "delta_e_f_ev_per_atom": -0.013
}